DFT (PBE) results for a relaxed LaSm2Si2 crystal.

abc: 7.8192 7.8192 4.2257
angles: 90.00 90.00 90.00
Last column: nearest neighbours and their distance in Å.
Space group P4/mbm (No. 127)
One atom of each set of equivalent atoms:
La 0.0000 0.0000 0.0000  4 Si 3.17
Sm 0.1755 0.3245 0.5000  6 Si 3.12-3.17
Si 0.1106 0.6106 0.0000  1 Si 2.45

Summary:
Its total energy is -56.6 eV per cell. For the size of the total moment, the calculation gives 0.1 Bohr magnetons per cell.